# 1
Density functional theory data (GGA-PBE) for a relaxed TlCoSn2 crystal.

Properties
As for the space group: F-43m. The value obtained for the total energy is -3.825 eV per atom.

abc: 5.0379 5.0379 5.0379
angles: 60.00 60.00 60.00
With the nearest neighbours (Å) after each atom.
Sites, in units of the cell vectors:
Tl (0.0000, 0.0000, 0.0000)  4 Sn 3.09, 4 Co 3.09
Co (0.2500, 0.2500, 0.2500)  4 Tl 3.09, 4 Sn 3.09
Sn (0.5000, 0.5000, 0.5000)  4 Sn 3.09, 4 Co 3.09
Sn (0.7500, 0.7500, 0.7500)  4 Tl 3.09, 4 Sn 3.09

---

# 2
Density functional theory data (GGA-PBE) for a relaxed LaMgAlPt crystal.

Properties
As for the space group: F-43m. The value obtained for the total energy is -4.638 eV per atom.

abc: 4.9698 4.9698 4.9698
angles: 60.00 60.00 60.00
With the nearest neighbours (Å) after each atom.
Sites, in units of the cell vectors:
La (0.0000, 0.0000, 0.0000)  4 Al 3.04, 4 Pt 3.04
Mg (0.5000, 0.5000, 0.5000)  4 Al 3.04, 4 Pt 3.04
Al (0.2500, 0.2500, 0.2500)  4 La 3.04, 4 Mg 3.04
Pt (0.7500, 0.7500, 0.7500)  4 La 3.04, 4 Mg 3.04

---

# 3
Density functional theory data (GGA-PBE) for a relaxed PrSmNi2B2As2 crystal.

Properties
As for the space group: P4mm. The value obtained for the total energy is -6.019 eV per atom.

abc: 4.0569 4.0569 8.1503
angles: 90.00 90.00 90.00
With the nearest neighbours (Å) after each atom.
Sites, in units of the cell vectors:
Pr (0.0000, 0.0000, 0.0000)  5 As 2.92-3.09, 1 B 2.96, 4 Ni 3.07
Sm (0.5000, 0.5000, 0.5618)  5 As 2.91-3.05, 1 B 2.98, 4 Ni 3.05
Ni (0.0000, 0.5000, 0.2826)  4 B 2.13-2.15
Ni (0.5000, 0.0000, 0.2826)  4 B 2.13-2.15
B (0.0000, 0.0000, 0.3632)  1 As 2.10, 4 Ni 2.13
B (0.5000, 0.5000, 0.1963)  1 As 2.12, 4 Ni 2.15
As (0.0000, 0.0000, 0.6204)  1 B 2.10
As (0.5000, 0.5000, 0.9362)  1 B 2.12

---

# 4
Density functional theory data (GGA-PBE) for a relaxed Ac2DyHf crystal.

Properties
The calculation puts the formation enthalpy at 0 K at 367 meV/atom. As for the space group: P3m1. The value obtained for the total energy is -5.325 eV per atom.

abc: 3.7462 3.7462 10.5283
angles: 90.00 90.00 120.00
With the nearest neighbours (Å) after each atom.
Sites, in units of the cell vectors:
Ac (0.0000, 0.0000, 0.0000)  3 Dy 3.49, 9 Ac 3.67-3.75
Ac (0.3333, 0.6667, 0.7181)  3 Hf 3.33, 3 Ac 3.67
Dy (0.6667, 0.3333, 0.2600)  3 Hf 3.15, 3 Ac 3.49
Hf (0.0000, 0.0000, 0.4779)  3 Dy 3.15, 3 Ac 3.33

---

# 5
Density functional theory data (GGA-PBE) for a relaxed LiAgTeMoSe2 crystal.

Properties
As for the space group: Cmcm. The value obtained for the total energy is -4.539 eV per atom.

abc: 7.0967 7.0967 10.3836
angles: 90.00 90.00 151.11
With the nearest neighbours (Å) after each atom.
Sites, in units of the cell vectors:
Li (0.2137, 0.7863, 0.7500)  2 Ag 2.86, 4 Se 3.02, 2 Te 3.03
Li (0.7863, 0.2137, 0.2500)  2 Ag 2.86, 4 Se 3.02, 2 Te 3.03
Ag (0.4499, 0.5501, 0.2500)  2 Se 2.53, 2 Te 2.80
Ag (0.5501, 0.4499, 0.7500)  2 Se 2.53, 2 Te 2.80
Te (0.1075, 0.8925, 0.2500)  2 Ag 2.80, 2 Mo 2.99, 2 Li 3.03
Te (0.8925, 0.1075, 0.7500)  2 Ag 2.80, 2 Mo 2.99, 2 Li 3.03
Mo (0.0000, 0.0000, 0.0000)  4 Se 2.63
Mo (0.0000, 0.0000, 0.5000)  4 Se 2.63
Se (0.3616, 0.6384, 0.0364)  1 Ag 2.53, 2 Mo 2.63
Se (0.3616, 0.6384, 0.4636)  1 Ag 2.53, 2 Mo 2.63
Se (0.6384, 0.3616, 0.5364)  1 Ag 2.53, 2 Mo 2.63
Se (0.6384, 0.3616, 0.9636)  1 Ag 2.53, 2 Mo 2.63

---

# 6
Density functional theory data (GGA-PBE) for a relaxed NaZrFe crystal.

Properties
As for the space group: F-43m. The value obtained for the total energy is -5.113 eV per atom.

abc: 4.4760 4.4760 4.4760
angles: 60.00 60.00 60.00
With the nearest neighbours (Å) after each atom.
Sites, in units of the cell vectors:
Na (0.0000, 0.0000, 0.0000)  4 Fe 2.74
Zr (0.5000, 0.5000, 0.5000)  4 Fe 2.74
Fe (0.2500, 0.2500, 0.2500)  4 Zr 2.74, 4 Na 2.74

---

| no. | theoretical density (kg/m3) |
| --- | --- |
| 1 | 9197 |
| 2 | 7371 |
| 3 | 7181 |
| 4 | 10317 |
| 5 | 6523 |
| 6 | 4453 |